Entry w
## IrOsRu (GGA-PBEsol)

Data for a geometry-optimized IrOsRu structure.

Cell lengths 2.691, 2.691, 6.603 Å; angles 90.00, 90.00, 120.00 degrees
Positions (direct):
Ru1 0.667 0.333 0.338
Ir1 0.000 0.000 0.000
Os1 0.333 0.667 0.661

Values from the calculation:
The total moment comes out at 0.000 μB/cell. The volume comes out at 13.80 Å³/atom. The space-group type is P3m1, No. 156.

Entry x
## IrOsRu (GGA-PBEsol)

Data for a geometry-optimized IrOsRu structure.

Cell lengths 2.694, 2.694, 6.022 Å; angles 102.92, 102.92, 90.00 degrees
Positions (direct):
Ru1 0.331 0.331 0.662
Ir1 0.000 0.000 0.001
Os1 0.669 0.669 0.338

Values from the calculation:
The total moment comes out at 0.000 μB/cell. The volume comes out at 13.82 Å³/atom. The space-group type is I4mm, No. 107.

The energy of each structure relative to the most stable one, in meV/atom, is as follows: entry w 9; entry x 0.

Entry w
## SiIr3Os (GGA-PBEsol)

Data for a geometry-optimized SiIr3Os structure.

Cell lengths 4.308, 4.308, 4.308 Å; angles 90.00, 90.00, 90.00 degrees
Positions (direct):
Si1 0.000 0.000 0.000
Ir1 0.000 0.500 0.000
Ir2 0.000 0.000 0.500
Ir3 0.500 0.000 0.000
Os1 0.500 0.500 0.500

Values from the calculation:
The total moment comes out at 0.000 μB/cell. The volume comes out at 15.99 Å³/atom. The space-group type is Pm-3m, No. 221.

Entry x
## SiIr3Os (GGA-PBEsol)

Data for a geometry-optimized SiIr3Os structure.

Cell lengths 4.681, 4.681, 4.681 Å; angles 90.00, 90.00, 90.00 degrees
Positions (direct):
Si1 0.500 0.500 0.500
Ir1 0.000 0.500 0.000
Ir2 0.000 0.000 0.500
Ir3 0.500 0.000 0.000
Os1 0.000 0.000 0.000

Values from the calculation:
The total moment comes out at 0.000 μB/cell. The volume comes out at 20.52 Å³/atom. The space-group type is Pm-3m, No. 221.

The energy of each structure relative to the most stable one, in meV/atom, is as follows: entry w 0; entry x 718.

Entry w
## SrIr2Os (GGA-PBEsol)

Data for a geometry-optimized SrIr2Os structure.

Cell lengths 4.178, 4.178, 4.863 Å; angles 115.44, 115.44, 90.00 degrees
Positions (direct):
Ir1 0.750 0.250 0.500
Ir2 0.250 0.750 0.500
Os1 0.500 0.500 0.000
Sr1 0.000 0.000 0.000

Values from the calculation:
The total moment comes out at 0.453 μB/cell. The volume comes out at 16.86 Å³/atom. The space-group type is I4/mmm, No. 139.

Entry x
## SrIr2Os (GGA-PBEsol)

Data for a geometry-optimized SrIr2Os structure.

Cell lengths 2.782, 4.794, 5.860 Å; angles 114.14, 103.73, 90.00 degrees
Positions (direct):
Ir1 0.971 0.971 0.943
Ir2 0.247 0.747 0.494
Os1 0.533 0.533 0.067
Sr1 0.749 0.249 0.497

Values from the calculation:
The total moment comes out at 0.000 μB/cell. The volume comes out at 17.21 Å³/atom. The space-group type is Imm2, No. 44.

Entry y
## SrIr2Os (GGA-PBEsol)

Data for a geometry-optimized SrIr2Os structure.

Cell lengths 4.050, 4.050, 5.002 Å; angles 113.88, 113.88, 90.00 degrees
Positions (direct):
Ir1 0.000 0.000 0.000
Ir2 0.750 0.250 0.500
Os1 0.500 0.500 0.000
Sr1 0.250 0.750 0.500

Values from the calculation:
The total moment comes out at 0.000 μB/cell. The volume comes out at 16.82 Å³/atom. The space-group type is I-4m2, No. 119.

The energy of each structure relative to the most stable one, in meV/atom, is as follows: entry w 318; entry x 0; entry y 332.

Entry w
## SrIrOs2 (GGA-PBEsol)

Data for a geometry-optimized SrIrOs2 structure.

Cell lengths 3.954, 3.954, 4.328 Å; angles 90.00, 90.00, 90.00 degrees
Positions (direct):
Ir1 0.000 0.000 0.500
Os1 0.000 0.500 0.000
Os2 0.500 0.000 0.000
Sr1 0.500 0.500 0.500

Values from the calculation:
The total moment comes out at 0.002 μB/cell. The volume comes out at 16.92 Å³/atom. The space-group type is P4/mmm, No. 123.

Entry x
## SrIrOs2 (GGA-PBEsol)

Data for a geometry-optimized SrIrOs2 structure.

Cell lengths 2.774, 4.318, 6.194 Å; angles 90.00, 102.94, 90.00 degrees
Positions (direct):
Ir1 0.293 0.500 0.586
Os1 0.175 0.000 0.349
Os2 0.609 0.500 0.219
Sr1 0.928 0.000 0.856

Values from the calculation:
The total moment comes out at 0.000 μB/cell. The volume comes out at 18.08 Å³/atom. The space-group type is Amm2, No. 38.

The energy of each structure relative to the most stable one, in meV/atom, is as follows: entry w 524; entry x 0.

Entry w
## SrIrOs2 (GGA-PBEsol)

Data for a geometry-optimized SrIrOs2 structure.

Cell lengths 2.812, 4.583, 5.665 Å; angles 90.00, 101.48, 90.00 degrees
Positions (direct):
Ir1 0.000 0.500 0.500
Os1 0.813 0.000 0.690
Os2 0.187 0.000 0.310
Sr1 0.500 0.500 0.000

Values from the calculation:
The total moment comes out at 0.001 μB/cell. The volume comes out at 17.89 Å³/atom. The space-group type is P2/m, No. 10.

Entry x
## SrIrOs2 (GGA-PBEsol)

Data for a geometry-optimized SrIrOs2 structure.

Cell lengths 2.846, 2.846, 8.441 Å; angles 90.00, 90.00, 90.00 degrees
Positions (direct):
Ir1 0.500 0.500 0.794
Os1 0.000 0.000 0.004
Os2 0.500 0.500 0.202
Sr1 0.000 0.000 0.501

Values from the calculation:
The total moment comes out at 0.000 μB/cell. The volume comes out at 17.09 Å³/atom. The space-group type is P4mm, No. 99.

The energy of each structure relative to the most stable one, in meV/atom, is as follows: entry w 418; entry x 0.

Entry w
## TaIr2Os (GGA-PBEsol)

Data for a geometry-optimized TaIr2Os structure.

Cell lengths 3.872, 3.872, 4.781 Å; angles 113.88, 113.88, 90.00 degrees
Positions (direct):
Ir1 0.250 0.750 0.500
Ir2 0.750 0.250 0.500
Os1 0.500 0.500 0.000
Ta1 0.000 0.000 0.000

Values from the calculation:
The total moment comes out at 0.000 μB/cell. The volume comes out at 14.69 Å³/atom. The space-group type is I4/mmm, No. 139.

Entry x
## TaIr2Os (GGA-PBEsol)

Data for a geometry-optimized TaIr2Os structure.

Cell lengths 2.770, 4.742, 4.742 Å; angles 109.33, 90.00, 90.00 degrees
Positions (direct):
Ir1 0.000 0.500 0.000
Ir2 0.000 0.000 0.500
Os1 0.500 0.000 0.000
Ta1 0.500 0.500 0.500

Values from the calculation:
The total moment comes out at 0.000 μB/cell. The volume comes out at 14.69 Å³/atom. The space-group type is Cmmm, No. 65.

The energy of each structure relative to the most stable one, in meV/atom, is as follows: entry w 0; entry x 80.

Entry w
## TaIr2Os (GGA-PBEsol)

Data for a geometry-optimized TaIr2Os structure.

Cell lengths 2.786, 4.728, 4.776 Å; angles 100.05, 106.96, 90.00 degrees
Positions (direct):
Ir1 0.248 0.241 0.495
Ir2 0.752 0.759 0.505
Os1 0.500 0.000 0.000
Ta1 0.000 0.500 0.000

Values from the calculation:
The total moment comes out at 0.000 μB/cell. The volume comes out at 14.79 Å³/atom. The space-group type is C2/m, No. 12.

Entry x
## TaIr2Os (GGA-PBEsol)

Data for a geometry-optimized TaIr2Os structure.

Cell lengths 3.890, 3.890, 4.768 Å; angles 114.07, 114.07, 90.00 degrees
Positions (direct):
Ir1 0.000 0.000 0.000
Ir2 0.250 0.750 0.500
Os1 0.500 0.500 0.000
Ta1 0.750 0.250 0.500

Values from the calculation:
The total moment comes out at 0.000 μB/cell. The volume comes out at 14.73 Å³/atom. The space-group type is I-4m2, No. 119.

The energy of each structure relative to the most stable one, in meV/atom, is as follows: entry w 125; entry x 0.

Entry w
## TcIr2Os (GGA-PBEsol)

Data for a geometry-optimized TcIr2Os structure.

Cell lengths 2.688, 3.856, 5.384 Å; angles 90.00, 90.00, 90.00 degrees
Positions (direct):
Ir1 0.000 0.000 0.750
Ir2 0.000 0.000 0.250
Os1 0.500 0.500 0.000
Tc1 0.500 0.500 0.500

Values from the calculation:
The total moment comes out at 0.000 μB/cell. The volume comes out at 13.96 Å³/atom. The space-group type is Pmmm, No. 47.

Entry x
## TcIr2Os (GGA-PBEsol)

Data for a geometry-optimized TcIr2Os structure.

Cell lengths 2.711, 4.330, 4.746 Å; angles 90.00, 90.00, 90.00 degrees
Positions (direct):
Ir1 0.000 0.000 0.041
Ir2 0.000 0.500 0.708
Os1 0.500 0.000 0.539
Tc1 0.500 0.500 0.211

Values from the calculation:
The total moment comes out at 0.000 μB/cell. The volume comes out at 13.93 Å³/atom. The space-group type is Pmm2, No. 25.

The energy of each structure relative to the most stable one, in meV/atom, is as follows: entry w 82; entry x 0.

Entry w
## TlIrOs2 (GGA-PBEsol)

Data for a geometry-optimized TlIrOs2 structure.

Cell lengths 3.916, 3.916, 4.080 Å; angles 90.00, 90.00, 90.00 degrees
Positions (direct):
Ir1 0.000 0.000 0.500
Os1 0.000 0.500 0.000
Os2 0.500 0.000 0.000
Tl1 0.500 0.500 0.500

Values from the calculation:
The total moment comes out at 0.005 μB/cell. The volume comes out at 15.64 Å³/atom. The space-group type is P4/mmm, No. 123.

Entry x
## TlIrOs2 (GGA-PBEsol)

Data for a geometry-optimized TlIrOs2 structure.

Cell lengths 2.772, 4.318, 6.250 Å; angles 110.20, 102.81, 90.00 degrees
Positions (direct):
Ir1 0.286 0.786 0.572
Os1 0.038 0.038 0.076
Os2 0.720 0.220 0.440
Tl1 0.456 0.456 0.912

Values from the calculation:
The total moment comes out at 0.000 μB/cell. The volume comes out at 17.05 Å³/atom. The space-group type is Imm2, No. 44.

The energy of each structure relative to the most stable one, in meV/atom, is as follows: entry w 128; entry x 0.

Entry w
## Ir2OsW (GGA-PBEsol)

Data for a geometry-optimized Ir2OsW structure.

Cell lengths 3.312, 3.312, 5.405 Å; angles 90.00, 90.00, 90.00 degrees
Positions (direct):
Ir1 0.000 0.000 0.754
Ir2 0.000 0.000 0.246
Os1 0.500 0.500 0.000
W1 0.500 0.500 0.500

Values from the calculation:
The total moment comes out at 0.001 μB/cell. The volume comes out at 14.82 Å³/atom. The space-group type is P4/mmm, No. 123.

Entry x
## Ir2OsW (GGA-PBEsol)

Data for a geometry-optimized Ir2OsW structure.

Cell lengths 2.732, 4.711, 4.741 Å; angles 99.74, 106.75, 90.00 degrees
Positions (direct):
Ir1 0.251 0.253 0.501
Ir2 0.749 0.747 0.499
Os1 0.000 0.500 0.000
W1 0.500 0.000 0.000

Values from the calculation:
The total moment comes out at 0.000 μB/cell. The volume comes out at 14.38 Å³/atom. The space-group type is C2/m, No. 12.

The energy of each structure relative to the most stable one, in meV/atom, is as follows: entry w 369; entry x 0.

Entry w
## Ir2OsW (GGA-PBEsol)

Data for a geometry-optimized Ir2OsW structure.

Cell lengths 2.739, 4.369, 4.789 Å; angles 90.00, 90.00, 90.00 degrees
Positions (direct):
Ir1 0.000 0.000 0.037
Ir2 0.000 0.500 0.704
Os1 0.500 0.000 0.545
W1 0.500 0.500 0.214

Values from the calculation:
The total moment comes out at 0.000 μB/cell. The volume comes out at 14.33 Å³/atom. The space-group type is Pmm2, No. 25.

Entry x
## Ir2OsW (GGA-PBEsol)

Data for a geometry-optimized Ir2OsW structure.

Cell lengths 3.834, 3.834, 3.896 Å; angles 90.00, 90.00, 90.00 degrees
Positions (direct):
Ir1 0.000 0.500 0.000
Ir2 0.500 0.000 0.000
Os1 0.500 0.500 0.500
W1 0.000 0.000 0.500

Values from the calculation:
The total moment comes out at 0.000 μB/cell. The volume comes out at 14.32 Å³/atom. The space-group type is P4/mmm, No. 123.

Entry y
## Ir2OsW (GGA-PBEsol)

Data for a geometry-optimized Ir2OsW structure.

Cell lengths 2.726, 2.726, 9.079 Å; angles 81.37, 81.37, 60.00 degrees
Positions (direct):
Ir1 0.249 0.249 0.252
Ir2 0.751 0.751 0.748
Os1 0.500 0.500 0.500
W1 0.000 0.000 0.000

Values from the calculation:
The total moment comes out at 0.000 μB/cell. The volume comes out at 14.38 Å³/atom. The space-group type is R-3m, No. 166.

Entry z
## Ir2OsW (GGA-PBEsol)

Data for a geometry-optimized Ir2OsW structure.

Cell lengths 3.841, 3.841, 4.742 Å; angles 113.89, 113.89, 90.00 degrees
Positions (direct):
Ir1 0.750 0.250 0.500
Ir2 0.250 0.750 0.500
Os1 0.000 0.000 0.000
W1 0.500 0.500 0.000

Values from the calculation:
The total moment comes out at 0.000 μB/cell. The volume comes out at 14.34 Å³/atom. The space-group type is I4/mmm, No. 139.

The energy of each structure relative to the most stable one, in meV/atom, is as follows: entry w 0; entry x 7; entry y 224; entry z 53.

Entry w
## YIrOs2 (GGA-PBEsol)

Data for a geometry-optimized YIrOs2 structure.

Cell lengths 2.928, 4.636, 4.757 Å; angles 90.00, 90.00, 90.00 degrees
Positions (direct):
Ir1 0.000 0.500 0.500
Os1 0.000 0.000 0.000
Os2 0.500 0.500 0.000
Y1 0.500 0.000 0.500

Values from the calculation:
The total moment comes out at 0.003 μB/cell. The volume comes out at 16.15 Å³/atom. The space-group type is Pmmm, No. 47.

Entry x
## YIrOs2 (GGA-PBEsol)

Data for a geometry-optimized YIrOs2 structure.

Cell lengths 2.802, 4.861, 5.460 Å; angles 114.85, 102.32, 95.58 degrees
Positions (direct):
Ir1 0.000 0.500 0.000
Os1 0.000 0.000 0.500
Os2 0.500 0.500 0.500
Y1 0.500 0.000 0.000

Values from the calculation:
The total moment comes out at 0.010 μB/cell. The volume comes out at 16.11 Å³/atom. The space-group type is C2/m, No. 12.

Entry y
## YIrOs2 (GGA-PBEsol)

Data for a geometry-optimized YIrOs2 structure.

Cell lengths 2.761, 2.761, 9.776 Å; angles 81.88, 81.88, 60.00 degrees
Positions (direct):
Ir1 0.000 0.000 0.000
Os1 0.258 0.258 0.225
Os2 0.742 0.742 0.775
Y1 0.500 0.500 0.500

Values from the calculation:
The total moment comes out at 0.000 μB/cell. The volume comes out at 15.92 Å³/atom. The space-group type is R-3m, No. 166.

Entry z
## YIrOs2 (GGA-PBEsol)

Data for a geometry-optimized YIrOs2 structure.

Cell lengths 2.780, 2.780, 9.657 Å; angles 81.72, 81.72, 60.00 degrees
Positions (direct):
Ir1 0.257 0.257 0.228
Os1 0.001 0.001 0.996
Os2 0.741 0.741 0.778
Y1 0.501 0.501 0.498

Values from the calculation:
The total moment comes out at 0.001 μB/cell. The volume comes out at 15.94 Å³/atom. The space-group type is R3m, No. 160.

The energy of each structure relative to the most stable one, in meV/atom, is as follows: entry w 0; entry x 69; entry y 192; entry z 87.